Record 1
Computed, not measured: a relaxed structure of SbTe2MoIr at the GGA-PBE level of DFT.

Cell: 5.4064 5.4064 4.9080 Å, 90.00 90.00 90.00°
Site moments in Bohr magnetons follow the coordinates.
Atoms (fractional coordinates):
Sb (0.0000, 0.0000, 0.5000)  -0.09
Mo (0.5000, 0.5000, 0.5000)  3.47
Ir (0.0000, 0.0000, 0.0000)  -0.04
Te (0.0000, 0.5000, 0.0000)  -0.17
Te (0.5000, 0.0000, 0.0000)  -0.17

Calculated values
size of the total moment: 3.52 μB per cell
density of states at the Fermi level: 0.6350 states/eV/atom
energy relative to the elements, uncorrected: 1.06 eV per atom
SG: P4/mmm (123)

Record 2
Computed, not measured: a relaxed structure of PbClF at the GGA-PBE level of DFT.

Cell: 5.9403 5.9403 4.7130 Å, 90.00 90.00 90.00°
Atoms (fractional coordinates):
Pb (0.5000, 0.0000, 0.8859)
Pb (0.0000, 0.5000, 0.1141)
Cl (0.0000, 0.0000, 0.0000)
Cl (0.5000, 0.5000, 0.0000)
F (0.0000, 0.5000, 0.6145)
F (0.5000, 0.0000, 0.3855)

Calculated values
size of the total moment: 0.00 μB per cell
density of states at the Fermi level: 0.0000 states/eV/atom
energy relative to the elements, uncorrected: -1.66 eV per atom
SG: P4/nmm (129)

Record 3
Computed, not measured: a relaxed structure of La5TmAg4 at the GGA-PBE level of DFT.

Cell: 3.8038 3.8038 20.1843 Å, 90.00 90.00 90.00°
Atoms (fractional coordinates):
La (0.5000, 0.5000, 0.1179)
La (0.5000, 0.5000, 0.3078)
La (0.5000, 0.5000, 0.5000)
La (0.5000, 0.5000, 0.6922)
La (0.5000, 0.5000, 0.8821)
Tm (0.0000, 0.0000, 0.0000)
Ag (0.0000, 0.0000, 0.2103)
Ag (0.0000, 0.0000, 0.4045)
Ag (0.0000, 0.0000, 0.5955)
Ag (0.0000, 0.0000, 0.7897)

Calculated values
size of the total moment: 0.00 μB per cell
density of states at the Fermi level: 1.0463 states/eV/atom
formation energy from the elements: -0.195 eV per atom
SG: P4/mmm (123)

Record 4
Computed, not measured: a relaxed structure of TbPmTeBr at the GGA-PBE level of DFT.

Cell: 5.2907 5.2907 5.2907 Å, 60.00 60.00 60.00°
Atoms (fractional coordinates):
Te (0.7500, 0.7500, 0.7500)
Tb (0.0000, 0.0000, 0.0000)
Br (0.2500, 0.2500, 0.2500)
Pm (0.5000, 0.5000, 0.5000)

Calculated values
size of the total moment: 0.00 μB per cell
density of states at the Fermi level: 0.7636 states/eV/atom
energy relative to the elements, uncorrected: -1.14 eV per atom
SG: F-43m (216)

Record 5
Computed, not measured: a relaxed structure of Hf2PaBi at the GGA-PBE level of DFT.

Cell: 5.1051 5.1051 5.1050 Å, 60.00 60.00 60.00°
Atoms (fractional coordinates):
Pa (0.5000, 0.5000, 0.5000)
Hf (0.2500, 0.2500, 0.2499)
Hf (0.7500, 0.7500, 0.7501)
Bi (0.0000, 0.0000, 0.0000)

Calculated values
size of the total moment: 0.00 μB per cell
density of states at the Fermi level: 1.3402 states/eV/atom
formation energy from the elements: 0.189 eV per atom
SG: Fm-3m (225)

Record 6
Computed, not measured: a relaxed structure of TbDy2ScAs4 at the GGA-PBE level of DFT.

Cell: 4.0726 7.0451 7.0436 Å, 70.52 90.00 90.00°
Atoms (fractional coordinates):
Tb (0.5000, 0.5000, 0.0000)
Dy (0.0000, 0.0000, 0.0000)
Dy (0.5000, 0.0000, 0.5000)
Sc (0.0000, 0.5000, 0.5000)
As (0.0000, 0.7460, 0.7443)
As (0.0000, 0.2540, 0.2557)
As (0.5000, 0.7408, 0.2600)
As (0.5000, 0.2592, 0.7400)

Calculated values
size of the total moment: 0.00 μB per cell
density of states at the Fermi level: 0.1155 states/eV/atom
formation energy from the elements: -1.480 eV per atom
SG: P2/m (10)

Record 7
Computed, not measured: a relaxed structure of Tb2NdCd6 at the GGA-PBE level of DFT.

Cell: 3.4364 8.7061 8.7061 Å, 120.00 90.00 90.00°
Site moments in Bohr magnetons follow the coordinates.
Atoms (fractional coordinates):
Tb (0.0000, 0.3333, 0.6667)  0.02
Tb (0.0000, 0.6667, 0.3333)  0.02
Nd (0.0000, 0.0000, 0.0000)  0.06
Cd (0.5000, 0.3358, 0.3358)  0.00
Cd (0.5000, 0.6642, 0.6642)  0.00
Cd (0.5000, 0.0000, 0.6642)  0.00
Cd (0.5000, 0.6642, 0.0000)  0.00
Cd (0.5000, 0.3358, 0.0000)  0.00
Cd (0.5000, 0.0000, 0.3358)  0.00

Calculated values
size of the total moment: 0.20 μB per cell
density of states at the Fermi level: 0.8820 states/eV/atom
formation energy from the elements: -0.328 eV per atom
SG: P6/mmm (191)

Record 8
Computed, not measured: a relaxed structure of Ho5Cu2Sb at the GGA-PBE level of DFT.

Cell: 7.8620 7.8620 8.4991 Å, 117.55 117.55 90.00°
Atoms (fractional coordinates):
Ho (0.5131, 0.7034, 0.7165)
Ho (0.7966, 0.9869, 0.2835)
Ho (0.0000, 0.0000, 0.0000)
Ho (0.5000, 0.5000, 0.0000)
Ho (0.2034, 0.0131, 0.7165)
Ho (0.7034, 0.2034, 0.7165)
Ho (0.0131, 0.5131, 0.7165)
Ho (0.2966, 0.7966, 0.2835)
Ho (0.9869, 0.4869, 0.2835)
Ho (0.4869, 0.2966, 0.2835)
Cu (0.1308, 0.3692, 0.0000)
Cu (0.6308, 0.1308, 0.0000)
Cu (0.3692, 0.8692, 0.0000)
Cu (0.8692, 0.6308, 0.0000)
Sb (0.7500, 0.7500, 0.5000)
Sb (0.2500, 0.2500, 0.5000)

Calculated values
size of the total moment: 0.00 μB per cell
density of states at the Fermi level: 0.9029 states/eV/atom
energy relative to the elements, uncorrected: -0.44 eV per atom
SG: I4/mcm (140)

Record 9
Computed, not measured: a relaxed structure of LaMn2Se at the GGA-PBE level of DFT.

Cell: 3.4845 3.4845 6.8353 Å, 90.00 90.00 89.95°
Site moments in Bohr magnetons follow the coordinates.
Atoms (fractional coordinates):
La (0.5000, 0.5000, 0.7488)  0.31
Mn (0.0000, 0.0000, 0.0700)  -3.39
Mn (0.5000, 0.5000, 0.2354)  3.81
Se (0.0000, 0.0000, 0.4458)  0.04

Calculated values
size of the total moment: 1.13 μB per cell
density of states at the Fermi level: 0.7357 states/eV/atom
energy relative to the elements, uncorrected: -0.22 eV per atom
SG: P4mm (99)

Record 10
Computed, not measured: a relaxed structure of Dy7GaS5 at the GGA-PBE level of DFT.

Cell: 3.8969 6.7544 23.3109 Å, 90.00 90.00 106.85°
Atoms (fractional coordinates):
Dy (0.4742, 0.9486, 0.2500)
Dy (0.5264, 0.0526, 0.7500)
Dy (0.6377, 0.2751, 0.0359)
Dy (0.3630, 0.7262, 0.9641)
Dy (0.3629, 0.7261, 0.5358)
Dy (0.6376, 0.2749, 0.4641)
Dy (0.1830, 0.3662, 0.1762)
Dy (0.8176, 0.6350, 0.8238)
Dy (0.8176, 0.6350, 0.6762)
Dy (0.1829, 0.3661, 0.3238)
Dy (0.9082, 0.8169, 0.1114)
Dy (0.0924, 0.1843, 0.8886)
Dy (0.0924, 0.1842, 0.6114)
Dy (0.9081, 0.8167, 0.3886)
Ga (0.8048, 0.6085, 0.2500)
Ga (0.1958, 0.3927, 0.7500)
S (0.0003, 0.0007, 0.0000)
S (0.7262, 0.4526, 0.9289)
S (0.2744, 0.5487, 0.0711)
S (0.5479, 0.0956, 0.3592)
S (0.4526, 0.9054, 0.6408)
S (0.0002, 0.0005, 0.5000)
S (0.2743, 0.5485, 0.4289)
S (0.7262, 0.4525, 0.5711)
S (0.4526, 0.9054, 0.8592)
S (0.5480, 0.0958, 0.1408)

Calculated values
size of the total moment: 0.00 μB per cell
density of states at the Fermi level: 0.5056 states/eV/atom
energy relative to the elements, uncorrected: -1.65 eV per atom
SG: P2_1/m (11)

Record 11
Computed, not measured: a relaxed structure of KLiCuF6 at the GGA-PBE level of DFT.

Cell: 6.6156 7.5742 7.1550 Å, 121.96 117.54 90.00°
Site moments in Bohr magnetons follow the coordinates.
Atoms (fractional coordinates):
K (0.9068, 0.6567, 0.8135)  0.00
K (0.0932, 0.3432, 0.1865)  0.00
Li (0.5000, 0.0000, 0.5000)  0.00
Li (0.0000, 0.0000, 0.5000)  0.00
Cu (0.5000, 0.5000, 0.0000)  -0.04
Cu (0.5000, 0.0000, 0.0000)  -0.04
F (0.4604, 0.7104, 0.9208)  -0.01
F (0.8370, 0.0870, 0.6740)  0.07
F (0.8203, 0.0933, 0.2442)  0.00
F (0.4238, 0.6508, 0.2442)  0.00
F (0.4238, 0.0933, 0.2442)  0.00
F (0.8203, 0.6508, 0.2442)  0.00
F (0.5396, 0.2896, 0.0792)  -0.01
F (0.1630, 0.9130, 0.3260)  0.07
F (0.1797, 0.9067, 0.7558)  0.00
F (0.5762, 0.3492, 0.7558)  0.00
F (0.5762, 0.9067, 0.7558)  0.00
F (0.1797, 0.3492, 0.7558)  0.00

Calculated values
size of the total moment: 0.03 μB per cell
density of states at the Fermi level: 0.1117 states/eV/atom
energy relative to the elements, uncorrected: -1.94 eV per atom
SG: Imma (74)

Record 12
Computed, not measured: a relaxed structure of BeRe2Ru at the GGA-PBE level of DFT.

Cell: 2.6781 2.6781 8.2889 Å, 90.00 90.00 114.42°
Atoms (fractional coordinates):
Re (0.0000, 0.0000, 0.9793)
Re (0.5000, 0.5000, 0.2516)
Be (0.5000, 0.5000, 0.7441)
Ru (0.0000, 0.0000, 0.5250)

Calculated values
size of the total moment: 0.00 μB per cell
density of states at the Fermi level: 0.9617 states/eV/atom
formation energy from the elements: 0.228 eV per atom
SG: Cmm2 (35)